1.
! MnHgAs2 GGA-PBE optimized geometry; values from VASP
&SYSTEM
  ibrav = 0, nat = 4, ntyp = 3
/
ATOMIC_SPECIES
Mn 54.94 Mn.upf
Hg 200.59 Hg.upf
As 74.92 As.upf
CELL_PARAMETERS angstrom
4.5125 0.0000 0.0000
0.0000 4.5125 0.0000
0.0000 0.0000 3.7637
ATOMIC_POSITIONS angstrom
Mn 0.0000 0.0000 0.0000
Hg 2.2562 2.2562 0.0000
As 0.0000 2.2562 1.8818
As 2.2562 0.0000 1.8818
! * formation energy: 0.35 eV/atom
! * density of states at the Fermi level: 1.897 states/eV per cell
! * calculated density: 8.78 g cm⁻³
! * space group: P4/mmm (123)

2.
! MnHgAs2 GGA-PBE optimized geometry; values from VASP
&SYSTEM
  ibrav = 0, nat = 12, ntyp = 3
/
ATOMIC_SPECIES
Mn 54.94 Mn.upf
Hg 200.59 Hg.upf
As 74.92 As.upf
CELL_PARAMETERS angstrom
3.0176 0.0000 0.0000
-1.5088 2.6133 0.0000
0.0000 0.0000 30.2744
ATOMIC_POSITIONS angstrom
Mn 0.0000 0.0000 0.0000
Mn 0.0000 1.7422 20.1830
Mn 1.5088 0.8711 10.0915
Hg 0.0000 0.0000 15.1372
Hg 0.0000 1.7422 5.0457
Hg 1.5088 0.8711 25.2287
As 0.0000 0.0000 8.3908
As 0.0000 0.0000 21.8836
As 0.0000 1.7422 11.7921
As 0.0000 1.7422 28.5738
As 1.5088 0.8711 1.7007
As 1.5088 0.8711 18.4823
! * formation energy: 0.03 eV/atom
! * density of states at the Fermi level: 4.512 states/eV per cell
! * calculated density: 8.46 g cm⁻³
! * space group: R-3m (166)